VASP calculation (PBE+U) on crystalline Sr2CoO3 at its relaxed geometry.

The structure in CIF format:
```
data_Sr2CoO3
_cell_length_a 5.064
_cell_length_b 5.053
_cell_length_c 7.655
_cell_angle_alpha 90.00
_cell_angle_beta 109.04
_cell_angle_gamma 90.00
_space_group_name_H-M_alt 'C 1 2/m 1'
_space_group_IT_number 12
_space_group_name_Hall '-C 2y'
loop_
_atom_site_label
_atom_site_type_symbol
_atom_site_fract_x
_atom_site_fract_y
_atom_site_fract_z
_atom_site_occupancy
Sr1 Sr 0.158 0.000 0.315 1
Co1 Co 0.000 0.500 0.000 1
O1 O 0.000 0.000 0.000 1
O2 O 0.147 0.500 0.293 1
```

Computed properties:
total moment: 0.494 μB/atom
DOS at the Fermi energy: 0.000 states/eV/f.u.
raw total energy: -5.88 eV per atom
crystal system: monoclinic